8
Lattice="0.0000 5.7539 6.2853 3.6320 0.0000 6.2853 3.6320 5.7539 0.0000" Properties=species:S:1:pos:R:3 comment="Tb2Pm5Sc, optimized geometry, DFT PBE-GGA" de_polymorph_ev_per_fu=0.00 final_energy_ev_per_atom=-4.882 sg="No. 42" pbc="T T T"
Tb 3.6320 2.8063 6.2853
Tb 3.6320 8.7016 6.2853
Pm 5.4216 5.7539 5.2378
Pm 1.8160 2.8770 3.1067
Pm 1.8423 5.7539 5.2378
Pm 3.6320 5.7539 8.3349
Pm 5.4479 8.6309 9.3921
Sc 3.6320 5.7539 2.0713

=====

10
Lattice="6.2011 -4.4408 0.0000 6.2011 4.4408 0.0000 -5.3282 0.0000 6.4995" Properties=species:S:1:pos:R:3 comment="La3NdAu, optimized geometry, DFT PBE-GGA" final_energy_ev_per_atom=-4.777 sg="No. 12" pbc="T T T"
La -1.0793 0.0000 1.9663
La 2.2473 1.7058 1.7562
La 2.2473 -1.7058 1.7562
La 4.8268 1.7058 4.7433
La 4.8268 -1.7058 4.7433
La 8.1534 0.0000 4.5332
Nd 1.3459 0.0000 4.7677
Nd 5.7281 0.0000 1.7319
Au -1.5458 0.0000 5.9324
Au 8.6199 0.0000 0.5671

=====

5
Lattice="4.8012 0.0000 0.0000 0.0000 4.8012 0.0000 0.0000 0.0000 4.8012" Properties=species:S:1:pos:R:3 comment="HfCd3Co, optimized geometry, DFT PBE-GGA" de_polymorph_ev_per_fu=0.00 final_energy_ev_per_atom=-3.260 sg="No. 221" pbc="T T T"
Hf 0.0000 0.0000 0.0000
Cd 0.0000 2.4006 2.4006
Cd 2.4006 0.0000 2.4006
Cd 2.4006 2.4006 0.0000
Co 2.4006 2.4006 2.4006

=====

Number 1: magnetization 0.00 μB per formula unit, energy of formation 0.3 eV/f.u.. Number 2: magnetization 0.00 μB per formula unit, energy of formation -1.1 eV/f.u.. Number 3: magnetization 0.00 μB per formula unit, energy of formation 3.5 eV/f.u..